(1)
Here is KLaTc3 after structural relaxation from Alexandria. Energies are from PBE-GGA.

Computed properties:
**Crystal system**: cubic
**E_form**: 2039 meV per atom

POSCAR file:
```
KLaTc3
1.0
-2.054 -2.920 3.525
4.577 -1.348 1.550
0.045 3.850 3.216
K Tc La
1 3 1
direct
0.500 0.500 0.500 K
0.000 0.500 0.000 Tc
0.000 0.000 0.500 Tc
0.500 0.000 0.000 Tc
0.000 0.000 0.000 La
```


(2)
Here is OsRu2 after structural relaxation from Alexandria. Energies are from PBE-GGA.

Computed properties:
**Crystal system**: orthorhombic
**E_form**: 113 meV per atom

POSCAR file:
```
OsRu2
1.0
4.691 0.000 -0.003
2.340 4.065 0.003
-3.122 -2.713 2.213
Os Ru
1 2
direct
0.000 0.000 0.000 Os
0.334 0.334 0.000 Ru
0.666 0.666 0.000 Ru
```


(3)
Here is BaZr2Br after structural relaxation from Alexandria. Energies are from PBE-GGA.

Computed properties:
**ΔE_f (raw)**: 0.287 eV/atom
**Crystal system**: tetragonal

POSCAR file:
```
BaZr2Br
1.0
3.333 0.000 0.000
0.000 3.333 0.000
0.000 0.000 9.910
Br Ba Zr
1 1 2
direct
0.500 0.500 0.750 Br
0.500 0.500 0.250 Ba
0.000 0.000 0.931 Zr
0.000 0.000 0.569 Zr
```


| no. | D(E_F) (states/eV per cell) | total energy (eV/atom) | total magnetization (Bohr magnetons per cell) |
| --- | --- | --- | --- |
| 1 | 8.61 | -5.385 | 5.38 |
| 2 | 3.20 | -9.814 | 0.00 |
| 3 | 5.69 | -4.886 | 0.00 |